# SrMn2WO8 GGA+U optimized geometry
data_SrMn2WO8
_cell_length_a 4.9108
_cell_length_b 4.9146
_cell_length_c 6.8448
_cell_angle_alpha 81.32
_cell_angle_beta 81.43
_cell_angle_gamma 79.65
_symmetry_space_group_name_H-M 'P 1'
_symmetry_Int_Tables_number 1
_symmetry_space_group_name_Hall 'P 1'
loop_
_atom_site_label
_atom_site_fract_x
_atom_site_fract_y
_atom_site_fract_z
Sr1 0.0000 0.0000 0.0000
Mn1 0.4536 0.4536 0.2267
Mn2 0.5464 0.5464 0.7733
W1 0.0000 0.0000 0.5000
O1 0.2110 0.7791 0.7081
O2 0.2195 0.7877 0.2929
O3 0.2601 0.2584 0.4418
O4 0.3449 0.3409 0.0045
O5 0.6551 0.6591 0.9955
O6 0.7399 0.7416 0.5582
O7 0.7805 0.2123 0.7071
O8 0.7890 0.2209 0.2919
# VASP energy   -83.95 eV for the cell shown
# Calculated volume   159.38 Å³/f.u.